[1]
Density functional theory data (PBE) for a geometry-optimized HgPt2Au2 structure.

a = 7.810 Å, b = 7.810 Å, c = 3.075 Å
α = 90.00°, β = 90.00°, γ = 90.00°
Fractional positions:
Hg1 0.000 0.000 0.000
Hg2 0.500 0.500 0.000
Pt1 0.134 0.366 0.500
Pt2 0.366 0.866 0.500
Pt3 0.634 0.134 0.500
Pt4 0.866 0.634 0.500
Au1 0.163 0.663 0.000
Au2 0.337 0.163 0.000
Au3 0.663 0.837 0.000
Au4 0.837 0.337 0.000

Relative energy among the computed polymorphs: 0.086 eV per atom
E_form: 92.2 kJ/mol of formula units
Electronic total energy: -3.596 eV per atom

=====

[2]
Density functional theory data (PBE) for a geometry-optimized Cr4AuSe structure.

a = 4.915 Å, b = 4.915 Å, c = 4.915 Å
α = 60.00°, β = 60.00°, γ = 60.00°
Fractional positions:
Cr1 0.378 0.378 0.378
Cr2 0.378 0.378 0.864
Cr3 0.378 0.864 0.378
Cr4 0.864 0.378 0.378
Au1 0.750 0.750 0.750
Se1 0.000 0.000 0.000

E_form (uncorrected): 0.555 eV/atom
Electronic total energy: -6.987 eV per atom

=====

[3]
Density functional theory data (PBE) for a geometry-optimized Nd6GeSe4 structure.

a = 7.184 Å, b = 7.184 Å, c = 21.344 Å
α = 90.00°, β = 90.00°, γ = 145.90°
Fractional positions:
Nd1 0.000 0.000 0.000
Nd2 0.000 0.000 0.500
Nd3 0.175 0.825 0.750
Nd4 0.275 0.725 0.088
Nd5 0.275 0.725 0.412
Nd6 0.442 0.558 0.668
Nd7 0.442 0.558 0.832
Nd8 0.558 0.442 0.168
Nd9 0.558 0.442 0.332
Nd10 0.725 0.275 0.588
Nd11 0.725 0.275 0.912
Nd12 0.825 0.175 0.250
Ge1 0.169 0.831 0.250
Ge2 0.831 0.169 0.750
Se1 0.085 0.915 0.627
Se2 0.085 0.915 0.873
Se3 0.361 0.639 0.540
Se4 0.361 0.639 0.960
Se5 0.639 0.361 0.040
Se6 0.639 0.361 0.460
Se7 0.915 0.085 0.127
Se8 0.915 0.085 0.373

E_form (uncorrected): -1.496 eV/atom
Electronic total energy: -5.784 eV per atom

=====

[4]
Density functional theory data (PBE) for a geometry-optimized U2SnC structure.

a = 8.870 Å, b = 8.870 Å, c = 8.870 Å
α = 20.77°, β = 20.77°, γ = 20.77°
Fractional positions:
U1 0.225 0.225 0.225
U2 0.775 0.775 0.775
Sn1 0.000 0.000 0.000
C1 0.500 0.500 0.500

E_form: -50.5 kJ/mol of formula units
Electronic total energy: -9.082 eV per atom

=====

[5]
Density functional theory data (PBE) for a geometry-optimized Ag3PS3 structure.

a = 7.762 Å, b = 7.762 Å, c = 5.685 Å
α = 90.00°, β = 90.00°, γ = 120.00°
Fractional positions:
Ag1 0.214 0.427 0.250
Ag2 0.214 0.786 0.250
Ag3 0.427 0.214 0.750
Ag4 0.573 0.786 0.250
Ag5 0.786 0.214 0.750
Ag6 0.786 0.573 0.750
P1 0.333 0.667 0.750
P2 0.667 0.333 0.250
S1 0.181 0.362 0.750
S2 0.181 0.819 0.750
S3 0.362 0.181 0.250
S4 0.638 0.819 0.750
S5 0.819 0.181 0.250
S6 0.819 0.638 0.250

E_form (uncorrected): 0.146 eV/atom
Electronic total energy: -3.618 eV per atom

=====

[6]
Density functional theory data (PBE) for a geometry-optimized Pm3DySc6 structure.

a = 9.841 Å, b = 9.841 Å, c = 6.121 Å
α = 90.00°, β = 90.00°, γ = 106.52°
Fractional positions:
Pm1 0.090 0.910 0.500
Pm2 0.223 0.380 0.016
Pm3 0.380 0.223 0.516
Pm4 0.620 0.777 0.016
Pm5 0.777 0.620 0.516
Pm6 0.910 0.090 0.000
Dy1 0.289 0.711 0.303
Dy2 0.711 0.289 0.803
Sc1 0.043 0.238 0.500
Sc2 0.043 0.525 0.630
Sc3 0.238 0.043 0.000
Sc4 0.256 0.744 0.844
Sc5 0.444 0.556 0.630
Sc6 0.475 0.957 0.630
Sc7 0.525 0.043 0.130
Sc8 0.556 0.444 0.130
Sc9 0.744 0.256 0.344
Sc10 0.762 0.957 0.500
Sc11 0.957 0.475 0.130
Sc12 0.957 0.762 0.000

Relative energy among the computed polymorphs: 0.000 eV per atom
E_form: 176.5 kJ/mol of formula units
Electronic total energy: -5.501 eV per atom